## LiErThPd (PBE-GGA)

Data for LiErThPd after structural relaxation.

Values from the calculation:
calculated volume = 23.3 Å³/atom
crystal system = cubic
symmetry = F-43m

a b c (Å): 7.194 7.194 7.194
angles (deg): 90.00 90.00 90.00
Fractional coordinates of all 16 atoms:
1 Li 0.000 0.000 0.000
2 Li 0.000 0.500 0.500
3 Li 0.500 0.000 0.500
4 Li 0.500 0.500 0.000
5 Er 0.250 0.250 0.250
6 Er 0.250 0.750 0.750
7 Er 0.750 0.250 0.750
8 Er 0.750 0.750 0.250
9 Th 0.250 0.250 0.750
10 Th 0.250 0.750 0.250
11 Th 0.750 0.250 0.250
12 Th 0.750 0.750 0.750
13 Pd 0.000 0.000 0.500
14 Pd 0.000 0.500 0.000
15 Pd 0.500 0.000 0.000
16 Pd 0.500 0.500 0.500

=====

## In3Hg (PBE-GGA)

Data for In3Hg after structural relaxation.

Values from the calculation:
calculated volume = 26.8 Å³/atom
crystal system = hexagonal
symmetry = P6_3/mmc

a b c (Å): 6.613 6.613 5.662
angles (deg): 90.00 90.00 120.00
Fractional coordinates of all 8 atoms:
1 In 0.167 0.333 0.250
2 In 0.167 0.833 0.250
3 In 0.333 0.167 0.750
4 In 0.667 0.833 0.250
5 In 0.833 0.167 0.750
6 In 0.833 0.667 0.750
7 Hg 0.333 0.667 0.750
8 Hg 0.667 0.333 0.250

=====

## CaAl12Rh4 (PBE-GGA)

Data for CaAl12Rh4 after structural relaxation.

Values from the calculation:
calculated volume = 22.7 Å³/atom
crystal system = cubic
symmetry = Im-3

a b c (Å): 7.945 7.945 7.945
angles (deg): 109.47 109.47 109.47
Fractional coordinates of all 17 atoms:
1 Ca 0.000 0.000 0.000
2 Al 0.075 0.325 0.751
3 Al 0.249 0.574 0.325
4 Al 0.249 0.925 0.675
5 Al 0.325 0.249 0.574
6 Al 0.325 0.751 0.075
7 Al 0.426 0.675 0.751
8 Al 0.574 0.325 0.249
9 Al 0.675 0.249 0.925
10 Al 0.675 0.751 0.426
11 Al 0.751 0.075 0.325
12 Al 0.751 0.426 0.675
13 Al 0.925 0.675 0.249
14 Rh 0.000 0.000 0.500
15 Rh 0.000 0.500 0.000
16 Rh 0.500 0.000 0.000
17 Rh 0.500 0.500 0.500

=====

## CsK2AgHg (PBE-GGA)

Data for CsK2AgHg after structural relaxation.

Values from the calculation:
calculated volume = 50.0 Å³/atom
crystal system = tetragonal
symmetry = P4/mmm

a b c (Å): 6.635 6.635 5.674
angles (deg): 90.00 90.00 90.00
Fractional coordinates of all 5 atoms:
1 Cs 0.000 0.000 0.000
2 K 0.000 0.500 0.500
3 K 0.500 0.000 0.500
4 Ag 0.500 0.500 0.000
5 Hg 0.500 0.500 0.500

=====

The records above yield calculated formation energy values of -264; 29; -249; 26 meV/atom, respectively.
The records above yield electronic total energy values of -5.04; -2.10; -4.74; -1.21 eV/atom, respectively.